Computed, not measured: La3Pr4Tl4 after structural relaxation at the PBE level of DFT.

Results
The calculation puts the total energy at -4.211 eV/atom. Its space-group type is No. 71. As for the formation energy: -0.2683 eV/atom. Its density is 8.037 g cm⁻³.

a = 3.8592 Å, b = 9.7533 Å, c = 11.1755 Å
α = 115.87°, β = 99.94°, γ = 90.00°
With the nearest neighbours (Å) after each atom.
Fractional coordinates of all 11 atoms:
Tl  0.2695  0.7695  0.5390  2 La 3.28, 6 Pr 3.34-3.37
Tl  0.5000  0.7801  0.0000  6 La 3.34-3.45, 2 Pr 3.38
Tl  0.5000  0.2199  0.0000  6 La 3.34-3.45, 2 Pr 3.38
La  0.0962  0.0962  0.1923  6 Tl 3.28-3.45
Pr  0.6643  0.8460  0.3286  4 Tl 3.34-3.38, 1 Pr 3.54
Pr  0.3357  0.5174  0.6714  4 Tl 3.34-3.38, 1 Pr 3.54
La  0.0000  0.5000  0.0000  4 Tl 3.34
Pr  0.3357  0.1540  0.6714  4 Tl 3.34-3.38, 1 Pr 3.54
Tl  0.7305  0.2305  0.4610  2 La 3.28, 6 Pr 3.34-3.37
Pr  0.6643  0.4826  0.3286  4 Tl 3.34-3.38, 1 Pr 3.54
La  0.9038  0.9038  0.8077  6 Tl 3.28-3.45

***

Computed, not measured: Pu2Pd2Rh after structural relaxation at the PBE level of DFT.

Results
The calculation puts the total energy at -9.553 eV/atom. Its space-group type is No. 12. As for the formation energy: -0.2726 eV/atom. Its density is 12.526 g cm⁻³.

a = 5.4423 Å, b = 5.4425 Å, c = 5.7746 Å
α = 82.07°, β = 82.08°, γ = 39.03°
With the nearest neighbours (Å) after each atom.
Fractional coordinates of all 5 atoms:
Rh  0.5000  0.0000  0.0000  4 Pu 2.77, 4 Pd 2.84
Pd  0.1003  0.6001  0.3072  1 Pd 2.80, 2 Rh 2.84, 5 Pu 2.88-3.05
Pd  0.8997  0.3999  0.6928  1 Pd 2.80, 2 Rh 2.84, 5 Pu 2.88-3.05
Pu  0.1804  0.6806  0.7765  2 Rh 2.77, 5 Pd 2.88-3.05
Pu  0.8196  0.3194  0.2235  2 Rh 2.77, 5 Pd 2.88-3.05

***

Computed, not measured: Nd4MgZn5 after structural relaxation at the PBE level of DFT.

Results
The calculation puts the total energy at -2.966 eV/atom. Its space-group type is No. 123. As for the formation energy: -0.2620 eV/atom. Its density is 6.488 g cm⁻³.

a = 3.6392 Å, b = 3.6392 Å, c = 17.9408 Å
α = 90.00°, β = 90.00°, γ = 90.00°
With the nearest neighbours (Å) after each atom.
Fractional coordinates of all 10 atoms:
Nd  0.0000  0.0000  0.1902  8 Zn 3.17-3.22, 1 Mg 3.41
Mg  0.0000  0.0000  0.0000  8 Zn 2.97
Zn  0.5000  0.5000  0.7066  8 Nd 3.16-3.17
Zn  0.5000  0.5000  0.5000  8 Nd 3.18
Zn  0.5000  0.5000  0.2934  8 Nd 3.16-3.17
Nd  0.0000  0.0000  0.6044  8 Zn 3.16-3.18
Nd  0.0000  0.0000  0.8098  8 Zn 3.17-3.22, 1 Mg 3.41
Zn  0.5000  0.5000  0.9178  1 Zn 2.95, 4 Mg 2.97, 4 Nd 3.22
Zn  0.5000  0.5000  0.0822  1 Zn 2.95, 4 Mg 2.97, 4 Nd 3.22
Nd  0.0000  0.0000  0.3956  8 Zn 3.16-3.18

***

Computed, not measured: BaAs2RuO8 after structural relaxation at the PBE level of DFT.

Results
The calculation puts the total energy at -6.477 eV/atom. As for the uncorrected formation energy: -1.4629 eV/atom. Its space-group type is No. 147. Its density is 4.787 g cm⁻³.

a = 5.0925 Å, b = 5.0925 Å, c = 7.9730 Å
α = 90.00°, β = 90.00°, γ = 120.00°
With the nearest neighbours (Å) after each atom.
Fractional coordinates of all 12 atoms:
O  0.6796  0.7022  0.6534  1 As 1.75
O  0.0226  0.3204  0.6534  1 As 1.75
As  0.3333  0.6667  0.7135  4 O 1.70-1.75
O  0.9774  0.6796  0.3466  1 As 1.75
Ba  0.0000  0.0000  0.0000  12 O 3.00-3.18
O  0.3204  0.2978  0.3466  1 As 1.75
O  0.6667  0.3333  0.0737  1 As 1.70
O  0.7022  0.0226  0.3466  1 As 1.75
Ru  0.0000  0.0000  0.5000  6 O 2.00
O  0.3333  0.6667  0.9263  1 As 1.70
As  0.6667  0.3333  0.2865  4 O 1.70-1.75
O  0.2978  0.9774  0.6534  1 As 1.75

***

Computed, not measured: KBa4Mg after structural relaxation at the PBE level of DFT.

Results
The calculation puts the total energy at -1.402 eV/atom. Its space-group type is No. 216. As for the formation energy: 0.3287 eV/atom. Its density is 2.773 g cm⁻³.

a = 8.0356 Å, b = 8.0356 Å, c = 8.0356 Å
α = 60.00°, β = 60.00°, γ = 60.00°
With the nearest neighbours (Å) after each atom.
Fractional coordinates of all 6 atoms:
Ba  0.3741  0.3741  0.3741  6 Ba 3.99-4.05
Mg  0.0000  0.0000  0.0000  12 Ba 4.71, 4 K 4.92
Ba  0.8777  0.3741  0.3741  6 Ba 3.99-4.05
Ba  0.3741  0.3741  0.8777  6 Ba 3.99-4.05
Ba  0.3741  0.8777  0.3741  6 Ba 3.99-4.05
K  0.7500  0.7500  0.7500  12 Ba 4.71, 4 Mg 4.92

***

Computed, not measured: PuUCoOs after structural relaxation at the PBE level of DFT.

Results
The calculation puts the total energy at -11.149 eV/atom. Its space-group type is No. 216. As for the formation energy: -0.1599 eV/atom. For the offset from the most stable computed form, the calculation gives 0.000 eV/atom. Its density is 18.445 g cm⁻³.

a = 4.5321 Å, b = 4.5321 Å, c = 4.5321 Å
α = 60.00°, β = 60.00°, γ = 60.00°
With the nearest neighbours (Å) after each atom.
Fractional coordinates of all 4 atoms:
Pu  0.2500  0.2500  0.2500  4 U 2.78, 4 Co 2.78
Co  0.5000  0.5000  0.5000  4 Pu 2.78, 4 Os 2.78
Os  0.7500  0.7500  0.7500  4 Co 2.78, 4 U 2.78
U  0.0000  0.0000  0.0000  4 Os 2.78, 4 Pu 2.78

***

Computed, not measured: PrHoGeSe after structural relaxation at the PBE level of DFT.

Results
The calculation puts the total energy at -5.737 eV/atom. As for the uncorrected formation energy: -1.3727 eV/atom. Its space-group type is No. 160. Its density is 7.144 g cm⁻³.

a = 4.2110 Å, b = 4.2110 Å, c = 7.3376 Å
α = 73.32°, β = 73.32°, γ = 60.00°
With the nearest neighbours (Å) after each atom.
Fractional coordinates of all 4 atoms:
Ho  0.9408  0.9408  0.1777  3 Ge 2.90, 3 Se 2.97
Ge  0.1980  0.1980  0.4059  3 Ho 2.90, 3 Pr 2.98
Se  0.6894  0.6894  0.9317  3 Ho 2.97, 3 Pr 3.09
Pr  0.4482  0.4482  0.6554  3 Ge 2.98, 3 Se 3.09

***

Computed, not measured: TbPm3Ga4 after structural relaxation at the PBE level of DFT.

Results
The calculation puts the total energy at -4.450 eV/atom. Its space-group type is No. 123. As for the formation energy: -0.5764 eV/atom. Its density is 7.457 g cm⁻³.

a = 3.6479 Å, b = 3.6479 Å, c = 14.6051 Å
α = 90.00°, β = 90.00°, γ = 90.00°
With the nearest neighbours (Å) after each atom.
Fractional coordinates of all 8 atoms:
Ga  0.0000  0.0000  0.8816  4 Tb 3.11, 4 Pm 3.19, 1 Ga 3.46
Pm  0.5000  0.5000  0.7532  8 Ga 3.17-3.19
Pm  0.5000  0.5000  0.2468  8 Ga 3.17-3.19
Ga  0.0000  0.0000  0.1184  4 Tb 3.11, 4 Pm 3.19, 1 Ga 3.46
Ga  0.0000  0.0000  0.6266  8 Pm 3.17
Ga  0.0000  0.0000  0.3734  8 Pm 3.17
Pm  0.5000  0.5000  0.5000  8 Ga 3.17
Tb  0.5000  0.5000  0.0000  8 Ga 3.11

***

Computed, not measured: HoNpOs4 after structural relaxation at the PBE level of DFT.

Results
The calculation puts the total energy at -10.534 eV/atom. Its space-group type is No. 216. As for the formation energy: -0.1282 eV/atom. Its density is 17.932 g cm⁻³.

a = 5.3402 Å, b = 5.3402 Å, c = 5.3402 Å
α = 60.00°, β = 60.00°, γ = 60.00°
With the nearest neighbours (Å) after each atom.
Fractional coordinates of all 6 atoms:
Np  0.2500  0.2500  0.2500  12 Os 3.13, 4 Ho 3.27
Os  0.6251  0.6251  0.6251  6 Os 2.67
Os  0.1248  0.6251  0.6251  6 Os 2.67
Os  0.6251  0.1248  0.6251  6 Os 2.67
Ho  0.0000  0.0000  0.0000  12 Os 3.13, 4 Np 3.27
Os  0.6251  0.6251  0.1248  6 Os 2.67

***

Computed, not measured: KBa2CaTl after structural relaxation at the PBE level of DFT.

Results
The calculation puts the total energy at -1.906 eV/atom. Its space-group type is No. 123. As for the formation energy: -0.0438 eV/atom. Its density is 3.136 g cm⁻³.

a = 6.8793 Å, b = 6.8793 Å, c = 6.2449 Å
α = 90.00°, β = 90.00°, γ = 90.00°
With the nearest neighbours (Å) after each atom.
Fractional coordinates of all 5 atoms:
Ba  0.0000  0.5000  0.0000  2 Tl 3.44
K  0.5000  0.5000  0.5000  8 Ba 4.65, 4 Ca 4.86
Ba  0.5000  0.0000  0.0000  2 Tl 3.44
Tl  0.0000  0.0000  0.0000  2 Ca 3.12, 4 Ba 3.44
Ca  0.0000  0.0000  0.5000  2 Tl 3.12

***

Computed, not measured: ThNi6C after structural relaxation at the PBE level of DFT.

Results
The calculation puts the total energy at -6.545 eV/atom. Its space-group type is No. 166. As for the formation energy: -0.1287 eV/atom. Its density is 9.383 g cm⁻³.

a = 5.1784 Å, b = 5.1784 Å, c = 5.4390 Å
α = 61.57°, β = 61.57°, γ = 60.00°
With the nearest neighbours (Å) after each atom.
Fractional coordinates of all 8 atoms:
Ni  0.9031  0.9031  0.7705  1 C 1.87
Ni  0.4233  0.9031  0.7705  1 C 1.87
Ni  0.0969  0.0969  0.2295  1 C 1.87
Ni  0.5767  0.0969  0.2295  1 C 1.87
Ni  0.9031  0.4233  0.7705  1 C 1.87
Ni  0.0969  0.5767  0.2295  1 C 1.87
C  0.0000  0.0000  0.0000  6 Ni 1.87
Th  0.5000  0.5000  0.5000  12 Ni 2.87

***

Computed, not measured: AcMgH6Rh2 after structural relaxation at the PBE level of DFT.

Results
The calculation puts the total energy at -4.475 eV/atom. Its space-group type is No. 166. Its density is 7.278 g cm⁻³.

a = 4.7432 Å, b = 4.7432 Å, c = 6.0756 Å
α = 67.02°, β = 67.02°, γ = 60.00°
With the nearest neighbours (Å) after each atom.
Fractional coordinates of all 10 atoms:
Ac  0.0000  0.0000  0.0000  12 H 2.63
Rh  0.7950  0.7950  0.6149  3 H 1.66
H  0.9323  0.4286  0.2105  1 Rh 1.66
H  0.5714  0.5714  0.7895  1 Rh 1.66
Mg  0.5000  0.5000  0.5000  6 H 2.09
H  0.0677  0.5714  0.7895  1 Rh 1.66
Rh  0.2050  0.2050  0.3851  3 H 1.66
H  0.5714  0.0677  0.7895  1 Rh 1.66
H  0.4286  0.4286  0.2105  1 Rh 1.66
H  0.4286  0.9323  0.2105  1 Rh 1.66

***

| no. | total magnetization (μB per cell) | density of states at the Fermi level (states/eV/cell) |
| --- | --- | --- |
| 1 | 0.00 | 13.19 |
| 2 | 10.41 | 19.19 |
| 3 | 0.00 | 9.21 |
| 4 | 2.00 | 3.86 |
| 5 | 0.00 | 13.23 |
| 6 | 3.27 | 4.83 |
| 7 | 0.00 | 1.23 |
| 8 | 0.00 | 3.70 |
| 9 | 2.91 | 10.41 |
| 10 | 0.00 | 5.47 |
| 11 | 0.00 | 3.67 |
| 12 | 0.00 | 3.95 |